1.
Eu2TlSi, optimized geometry, DFT PBE-GGA; formation energy (no corrections) = -0.2 eV/f.u.; space group = R-3m (166); total moment = 14.66 μB/f.u.
1.0
3.7482 0.0000 0.0000
-1.8741 3.2460 0.0000
0.0000 0.0000 32.5786
Eu Tl Si
6 3 3
Direct
0.0000 0.0000 0.1037
0.0000 0.0000 0.8963
0.3333 0.6667 0.5630
0.3333 0.6667 0.7703
0.6667 0.3333 0.2297
0.6667 0.3333 0.4370
0.0000 0.0000 0.0000
0.3333 0.6667 0.6667
0.6667 0.3333 0.3333
0.0000 0.0000 0.5000
0.3333 0.6667 0.1667
0.6667 0.3333 0.8333

=====

2.
EuTmSi, optimized geometry, DFT PBE-GGA; formation energy (no corrections) = -1.1 eV/f.u.; space group = F-43m (216); total moment = 7.44 μB/f.u.
1.0
6.9964 0.0000 0.0000
0.0000 6.9964 0.0000
0.0000 0.0000 6.9964
Eu Tm Si
4 4 4
Direct
0.0000 0.0000 0.0000
0.0000 0.5000 0.5000
0.5000 0.0000 0.5000
0.5000 0.5000 0.0000
0.0000 0.0000 0.5000
0.0000 0.5000 0.0000
0.5000 0.0000 0.0000
0.5000 0.5000 0.5000
0.2500 0.2500 0.7500
0.2500 0.7500 0.2500
0.7500 0.2500 0.2500
0.7500 0.7500 0.7500

=====

3.
EuTmZnSi, optimized geometry, DFT PBE-GGA; formation energy (no corrections) = -1.5 eV/f.u.; space group = F-43m (216); total moment = 7.23 μB/f.u.
1.0
7.1364 0.0000 0.0000
0.0000 7.1364 0.0000
0.0000 0.0000 7.1364
Eu Tm Zn Si
4 4 4 4
Direct
0.0000 0.0000 0.0000
0.0000 0.5000 0.5000
0.5000 0.0000 0.5000
0.5000 0.5000 0.0000
0.0000 0.0000 0.5000
0.0000 0.5000 0.0000
0.5000 0.0000 0.0000
0.5000 0.5000 0.5000
0.2500 0.2500 0.2500
0.2500 0.7500 0.7500
0.7500 0.2500 0.7500
0.7500 0.7500 0.2500
0.2500 0.2500 0.7500
0.2500 0.7500 0.2500
0.7500 0.2500 0.2500
0.7500 0.7500 0.7500